BaPaO2 | PBE-GGA | optimized geometry

raw formation energy	-2.436	eV per atom
crystal system	trigonal
space group	R-3m (166)

abc: 3.808 3.808 7.320
angles: 74.92 74.92 60.00
Fractional coordinates of all 4 atoms:
Ba1 0.000 0.000 0.000
O1 0.868 0.868 0.395
O2 0.132 0.132 0.605
Pa1 0.500 0.500 0.500